LaTmOs: optimized geometry, PBE.

The energy relative to the elements comes out at -0.511 eV per formula unit. As for the density of states at the Fermi level: 0.747 states/eV/atom. For the calculated volume, the calculation gives 638.72 Å³/cell. The uncorrected energy is -7.047 eV per atom.

The space group is Cmce (No. 64) and the conventional cell measures 6.563, 13.443 and 7.240 Å, with angles of 90.00, 90.00 and 90.00 degrees. Symmetry generates all atoms from La at (0.000, 0.199, 0.111), Tm at (0.250, 0.031, 0.750) and Os at (0.000, 0.111, 0.457).